The following is a PBE-GGA calculation of a geometry-optimized ZrPaPdW structure, from the Alexandria database.

extended XYZ file:
```
4
Lattice="-0.3508 -1.9978 -4.3908 -0.2433 -4.8090 -0.4564 -4.1363 -2.0919 -1.3816" Properties=species:S:1:pos:R:3 pbc="T T T"
Zr 0.0000 0.0000 0.0000
Pa -2.3652 -4.4493 -3.1144
Pd -1.1826 -2.2247 -1.5572
W -3.5478 -6.6740 -4.6716
```

Summary:
SG = No. 216
E = -9.180 eV/atom
total magnetic moment = 0.00 μB per formula unit
mass density = 12.71 g cm⁻³
Fermi-level density of states = 3.138 states/eV per cell
E_form = -51 kJ/mol of formula units
calculated volume = 20.00 Å³ per atom